# 1
# ZrPtW2 (PBE-GGA, optimized geometry)
# Total energy (eV/atom): -10.295
# Total magnetic moment (Bohr magnetons per cell): 0.00
# Energy of formation from the pure elements (eV/atom): -0.171
# Energy relative to the lowest polymorph listed for this composition (eV/atom): 0.000
data_ZrPtW2
_cell_length_a 3.3158
_cell_length_b 3.3158
_cell_length_c 6.3382
_cell_angle_alpha 90.00
_cell_angle_beta 90.00
_cell_angle_gamma 90.00
_symmetry_space_group_name_H-M 'P 4 m m'
_symmetry_Int_Tables_number 99
loop_
_symmetry_equiv_pos_as_xyz
'x,y,z'
'-y,x,z'
'-x,-y,z'
'y,-x,z'
'-x,y,z'
'y,x,z'
'x,-y,z'
'-y,-x,z'
loop_
_atom_site_label
_atom_site_type_symbol
_atom_site_fract_x
_atom_site_fract_y
_atom_site_fract_z
Zr1 Zr 0.0000 0.0000 0.0000
Pt1 Pt 0.5000 0.5000 0.2489
W1 W 0.0000 0.0000 0.5101
W2 W 0.5000 0.5000 0.7271

---

# 2
# BaScInSe2 (PBE-GGA, optimized geometry)
# Total energy (eV/atom): -3.394
# Total magnetic moment (Bohr magnetons per cell): 1.42
# E_form (uncorrected) (meV/atom): 198
data_BaScInSe2
_cell_length_a 5.4966
_cell_length_b 5.4966
_cell_length_c 5.9752
_cell_angle_alpha 90.00
_cell_angle_beta 90.00
_cell_angle_gamma 90.00
_symmetry_space_group_name_H-M 'P 4/m m m'
_symmetry_Int_Tables_number 123
_symmetry_space_group_name_Hall '-P 4 2'
loop_
_atom_site_label
_atom_site_type_symbol
_atom_site_fract_x
_atom_site_fract_y
_atom_site_fract_z
Ba1 Ba 0.0000 0.0000 0.0000
Sc1 Sc 0.5000 0.5000 0.0000
In1 In 0.0000 0.0000 0.5000
Se1 Se 0.0000 0.5000 0.5000

---

# 3
# CrAsRu (PBE-GGA, optimized geometry)
# Total energy (eV/atom): -7.705
# Total magnetic moment (Bohr magnetons per cell): 0.00
# Energy of formation from the pure elements (eV/atom): 0.145
data_CrAsRu
_cell_length_a 2.8062
_cell_length_b 2.8062
_cell_length_c 6.1278
_cell_angle_alpha 90.00
_cell_angle_beta 90.00
_cell_angle_gamma 120.00
_symmetry_space_group_name_H-M 'P 3 m 1'
_symmetry_Int_Tables_number 156
loop_
_symmetry_equiv_pos_as_xyz
'x,y,z'
'-y,x-y,z'
'-x+y,-x,z'
'-y,-x,z'
'-x+y,y,z'
'x,x-y,z'
loop_
_atom_site_label
_atom_site_type_symbol
_atom_site_fract_x
_atom_site_fract_y
_atom_site_fract_z
Cr1 Cr 0.0000 0.0000 0.0000
As1 As 0.6667 0.3333 0.6720
Ru1 Ru 0.3333 0.6667 0.3123

---

# 4
# ZrSi2As (PBE-GGA, optimized geometry)
# Total energy (eV/atom): -6.155
# Total magnetic moment (Bohr magnetons per cell): 0.00
# Energy relative to the lowest polymorph listed for this composition (eV/atom): 0.207
# E_form (uncorrected) (meV/atom): -144
data_ZrSi2As
_cell_length_a 3.8874
_cell_length_b 3.8874
_cell_length_c 9.2675
_cell_angle_alpha 90.00
_cell_angle_beta 90.00
_cell_angle_gamma 90.00
_symmetry_space_group_name_H-M 'I -4 m 2'
_symmetry_Int_Tables_number 119
_symmetry_space_group_name_Hall 'I -4 -2'
loop_
_atom_site_label
_atom_site_type_symbol
_atom_site_fract_x
_atom_site_fract_y
_atom_site_fract_z
Zr1 Zr 0.0000 0.0000 0.0000
Si1 Si 0.0000 0.0000 0.5000
Si2 Si 0.0000 0.5000 0.2500
As1 As 0.0000 0.5000 0.7500

---

# 5
# PaCuRuPt (PBE-GGA, optimized geometry)
# Total energy (eV/atom): -7.612
# Total magnetic moment (Bohr magnetons per cell): 0.00
# Energy of formation from the pure elements (eV/atom): -0.385
# Energy relative to the lowest polymorph listed for this composition (eV/atom): 0.268
data_PaCuRuPt
_cell_length_a 6.5452
_cell_length_b 6.5452
_cell_length_c 6.5452
_cell_angle_alpha 90.00
_cell_angle_beta 90.00
_cell_angle_gamma 90.00
_symmetry_space_group_name_H-M 'F -4 3 m'
_symmetry_Int_Tables_number 216
_symmetry_space_group_name_Hall 'F -4 2 3'
loop_
_atom_site_label
_atom_site_type_symbol
_atom_site_fract_x
_atom_site_fract_y
_atom_site_fract_z
Pa1 Pa 0.0000 0.0000 0.0000
Cu1 Cu 0.0000 0.0000 0.5000
Ru1 Ru 0.2500 0.2500 0.2500
Pt1 Pt 0.2500 0.2500 0.7500

---

# 6
# RbSrMo2 (PBE-GGA, optimized geometry)
# Total energy (eV/atom): -3.991
# Total magnetic moment (Bohr magnetons per cell): 20.22
# Energy of formation from the pure elements (eV/atom): 2.087
# Energy relative to the lowest polymorph listed for this composition (eV/atom): 0.000
data_RbSrMo2
_cell_length_a 9.1309
_cell_length_b 9.1309
_cell_length_c 5.6786
_cell_angle_alpha 90.00
_cell_angle_beta 90.00
_cell_angle_gamma 90.00
_symmetry_space_group_name_H-M 'I -4 2 d'
_symmetry_Int_Tables_number 122
_symmetry_space_group_name_Hall 'I -4 2bw'
loop_
_atom_site_label
_atom_site_type_symbol
_atom_site_fract_x
_atom_site_fract_y
_atom_site_fract_z
Rb1 Rb 0.0000 0.0000 0.0000
Sr1 Sr 0.0000 0.0000 0.5000
Mo1 Mo 0.2462 0.7500 0.6250